1.
HIr8 | PBE | relaxed

**N(E_F)**: 10.3 states/eV/cell

Cell: 5.5063 5.5063 4.5508 Å, 90.00 90.00 120.00°
Space group P-3m1 (No. 164)
Symmetry-distinct sites (fractional):
1 H 0.0000 0.0000 0.0000 (multiplicity 1)
2 Ir 0.1700 0.3399 0.7434 (multiplicity 6)
3 Ir 0.3333 0.6667 0.2441 (multiplicity 2)

2.
Rb2SnS3 | PBE | relaxed

**N(E_F)**: 0.0 states/eV/cell
**Uncorrected formation energy**: -0.91 eV/atom

Cell: 12.757 8.685 7.112 Å, 90.00 99.46 90.00°
Space group C2/c (No. 15)
Symmetry-distinct sites (fractional):
1 Rb 0.158 0.156 0.188 (multiplicity 8)
2 Sn 0.000 0.416 0.750 (multiplicity 4)
3 S 0.000 0.142 0.750 (multiplicity 4)
4 S 0.132 0.457 0.489 (multiplicity 8)

3.
PrHPd3 | PBE | relaxed

**N(E_F)**: 2.7 states/eV/cell

Cell: 6.0153 6.0153 7.5694 Å, 90.00 90.00 120.00°
Space group R3m (No. 160, hexagonal axes)
Symmetry-distinct sites (fractional):
1 Pr 0.0000 0.0000 0.0000 (multiplicity 3)
2 H 0.0000 0.0000 0.6557 (multiplicity 3)
3 Pd 0.0127 0.5064 0.0024 (multiplicity 9)

Values of DFT total energy, in order: -0.593 -0.291 -0.393, all in Ry/atom.